[1]
This record from Alexandria via LeMat-Bulk describes an optimized crystal structure of Ho3ZnSn3. The functional is PBE.

```
data_Ho3ZnSn3
_space_group_name_H-M_alt 'P 1'
_space_group_IT_number 1
_cell_length_a 6.147
_cell_length_b 9.023
_cell_length_c 9.023
_cell_angle_alpha 120.00
_cell_angle_beta 90.00
_cell_angle_gamma 90.00
loop_
_space_group_symop_operation_xyz
'x,y,z'
loop_
_atom_site_label
_atom_site_fract_x
_atom_site_fract_y
_atom_site_fract_z
Ho1 0.250 0.637 0.953
Sn1 0.750 0.045 0.694
Sn2 0.250 0.955 0.306
Sn3 0.250 0.694 0.648
Ho2 0.750 0.953 0.316
Sn4 0.250 0.352 0.045
Ho3 0.750 0.363 0.047
Zn1 0.750 0.333 0.667
Ho4 0.250 0.047 0.684
Zn2 0.250 0.667 0.333
Sn5 0.750 0.648 0.955
Ho5 0.750 0.684 0.637
Ho6 0.250 0.316 0.363
Sn6 0.750 0.306 0.352
```

[2]
This record from Alexandria via LeMat-Bulk describes an optimized crystal structure of Ho7Zn4Sn. The functional is PBE.

```
data_Ho7Zn4Sn
_space_group_name_H-M_alt 'P 1'
_space_group_IT_number 1
_cell_length_a 5.642
_cell_length_b 8.667
_cell_length_c 7.535
_cell_angle_alpha 65.72
_cell_angle_beta 68.02
_cell_angle_gamma 71.01
loop_
_space_group_symop_operation_xyz
'x,y,z'
loop_
_atom_site_label
_atom_site_fract_x
_atom_site_fract_y
_atom_site_fract_z
Ho1 0.182 0.124 0.512
Ho2 0.277 0.686 0.760
Ho3 0.500 0.000 0.000
Ho4 0.923 0.408 0.746
Zn1 0.311 0.335 0.043
Zn2 0.485 0.667 0.362
Sn1 0.000 0.000 0.000
Ho5 0.723 0.314 0.240
Ho6 0.818 0.876 0.488
Zn3 0.689 0.665 0.957
Zn4 0.515 0.333 0.638
Ho7 0.077 0.592 0.254
```

[3]
This record from Alexandria via LeMat-Bulk describes an optimized crystal structure of Ho4Zn3Sn. The functional is PBE.

```
data_Ho4Zn3Sn
_space_group_name_H-M_alt 'P 1'
_space_group_IT_number 1
_cell_length_a 5.082
_cell_length_b 5.082
_cell_length_c 8.888
_cell_angle_alpha 73.39
_cell_angle_beta 73.39
_cell_angle_gamma 60.00
loop_
_space_group_symop_operation_xyz
'x,y,z'
loop_
_atom_site_label
_atom_site_fract_x
_atom_site_fract_y
_atom_site_fract_z
Ho1 0.621 0.621 0.137
Zn1 0.500 0.500 0.500
Ho2 0.128 0.128 0.615
Zn2 0.246 0.246 0.263
Zn3 0.754 0.754 0.737
Sn1 0.000 0.000 0.000
Ho3 0.379 0.379 0.863
Ho4 0.872 0.872 0.385
```

[4]
This record from Alexandria via LeMat-Bulk describes an optimized crystal structure of Ho3Zn4Sn2. The functional is PBE.

```
data_Ho3Zn4Sn2
_space_group_name_H-M_alt 'P 1'
_space_group_IT_number 1
_cell_length_a 4.523
_cell_length_b 5.897
_cell_length_c 8.598
_cell_angle_alpha 109.99
_cell_angle_beta 90.00
_cell_angle_gamma 112.55
loop_
_space_group_symop_operation_xyz
'x,y,z'
loop_
_atom_site_label
_atom_site_fract_x
_atom_site_fract_y
_atom_site_fract_z
Zn1 0.251 0.502 0.934
Ho1 0.332 0.664 0.332
Sn1 0.615 0.230 0.278
Zn2 0.019 0.038 0.365
Ho2 0.000 0.000 0.000
Zn3 0.981 0.962 0.635
Sn2 0.385 0.770 0.722
Zn4 0.749 0.498 0.066
Ho3 0.668 0.336 0.668
```

[5]
This record from Alexandria via LeMat-Bulk describes an optimized crystal structure of Ho2Zn3Sn. The functional is PBE.

```
data_Ho2Zn3Sn
_space_group_name_H-M_alt 'P 1'
_space_group_IT_number 1
_cell_length_a 5.779
_cell_length_b 5.779
_cell_length_c 8.639
_cell_angle_alpha 104.85
_cell_angle_beta 104.85
_cell_angle_gamma 103.51
loop_
_space_group_symop_operation_xyz
'x,y,z'
loop_
_atom_site_label
_atom_site_fract_x
_atom_site_fract_y
_atom_site_fract_z
Zn1 0.839 0.839 0.678
Sn1 0.334 0.334 0.668
Ho1 0.757 0.757 0.000
Zn2 0.323 0.837 0.159
Ho2 0.243 0.243 0.000
Zn3 0.161 0.161 0.322
Zn4 0.163 0.677 0.841
Ho3 0.250 0.750 0.500
Sn2 0.666 0.666 0.332
Ho4 0.750 0.250 0.500
Zn5 0.677 0.163 0.841
Zn6 0.837 0.323 0.159
```

[6]
This record from Alexandria via LeMat-Bulk describes an optimized crystal structure of Ho2Zn5Sn. The functional is PBE.

```
data_Ho2Zn5Sn
_space_group_name_H-M_alt 'P 1'
_space_group_IT_number 1
_cell_length_a 4.318
_cell_length_b 8.373
_cell_length_c 9.011
_cell_angle_alpha 90.00
_cell_angle_beta 90.00
_cell_angle_gamma 104.94
loop_
_space_group_symop_operation_xyz
'x,y,z'
loop_
_atom_site_label
_atom_site_fract_x
_atom_site_fract_y
_atom_site_fract_z
Sn1 0.450 0.899 0.750
Zn1 0.188 0.376 0.891
Zn2 0.389 0.778 0.250
Sn2 0.550 0.101 0.250
Zn3 0.812 0.624 0.109
Zn4 0.188 0.376 0.609
Ho1 0.000 0.000 0.500
Zn5 0.345 0.690 0.520
Zn6 0.655 0.310 0.480
Zn7 0.812 0.624 0.391
Zn8 0.611 0.222 0.750
Ho2 0.799 0.598 0.750
Ho3 0.000 0.000 0.000
Ho4 0.201 0.402 0.250
Zn9 0.655 0.310 0.020
Zn10 0.345 0.690 0.980
```

[7]
This record from Alexandria via LeMat-Bulk describes an optimized crystal structure of Ho5Zn2Sn. The functional is PBE.

```
data_Ho5Zn2Sn
_space_group_name_H-M_alt 'P 1'
_space_group_IT_number 1
_cell_length_a 8.040
_cell_length_b 8.040
_cell_length_c 8.574
_cell_angle_alpha 117.96
_cell_angle_beta 117.96
_cell_angle_gamma 90.00
loop_
_space_group_symop_operation_xyz
'x,y,z'
loop_
_atom_site_label
_atom_site_fract_x
_atom_site_fract_y
_atom_site_fract_z
Zn1 0.635 0.135 0.000
Ho1 0.000 0.000 0.000
Ho2 0.199 0.009 0.708
Ho3 0.500 0.500 0.000
Zn2 0.135 0.365 0.000
Ho4 0.509 0.699 0.708
Sn1 0.750 0.750 0.500
Zn3 0.365 0.865 0.000
Ho5 0.991 0.491 0.292
Ho6 0.491 0.301 0.292
Ho7 0.301 0.801 0.292
Ho8 0.699 0.199 0.708
Ho9 0.009 0.509 0.708
Sn2 0.250 0.250 0.500
Ho10 0.801 0.991 0.292
Zn4 0.865 0.635 0.000
```

[8]
This record from Alexandria via LeMat-Bulk describes an optimized crystal structure of Ho2ZnSn. The functional is PBE.

```
data_Ho2ZnSn
_space_group_name_H-M_alt 'P 1'
_space_group_IT_number 1
_cell_length_a 4.285
_cell_length_b 6.026
_cell_length_c 8.455
_cell_angle_alpha 111.14
_cell_angle_beta 90.00
_cell_angle_gamma 90.00
loop_
_space_group_symop_operation_xyz
'x,y,z'
loop_
_atom_site_label
_atom_site_fract_x
_atom_site_fract_y
_atom_site_fract_z
Ho1 0.250 0.795 0.065
Zn1 0.250 0.341 0.207
Ho2 0.250 0.780 0.579
Zn2 0.750 0.659 0.793
Ho3 0.750 0.205 0.935
Sn1 0.250 0.338 0.712
Ho4 0.750 0.220 0.421
Sn2 0.750 0.662 0.288
```

The records above yield ΔE_f values of -0.333, -0.169, -0.427, -0.503, -0.474, -0.408, -0.400, -0.523 eV per atom, respectively.
The records above yield total energy values of -4.193, -3.597, -3.694, -3.484, -3.304, -2.849, -4.080, -4.131 eV/atom, respectively.